No. 1
An optimized crystal structure of DyGeTe2AuSe, computed with PBE.

Calculated values
For the volume, the calculation gives 312 Å³ per cell.

Lattice parameters (Å, degrees): 7.5570 7.5570 10.3430 90.00 90.00 148.08
Atoms (fractional coordinates):
Au (0.0203, 0.9797, 0.7500)
Se (0.4046, 0.5954, 0.7500)
Te (0.8432, 0.1568, 0.4386)
Te (0.1568, 0.8432, 0.9386)
Ge (0.7404, 0.2596, 0.7500)
Se (0.5954, 0.4046, 0.2500)
Te (0.1568, 0.8432, 0.5614)
Au (0.9797, 0.0203, 0.2500)
Te (0.8432, 0.1568, 0.0614)
Dy (0.5000, 0.5000, 0.0000)
Ge (0.2596, 0.7404, 0.2500)
Dy (0.5000, 0.5000, 0.5000)


No. 2
An optimized crystal structure of Dy3Si2Ge2Au4, computed with PBE.

Calculated values
For the volume, the calculation gives 217 Å³ per cell.

Lattice parameters (Å, degrees): 8.3187 8.3187 8.3187 150.07 130.28 59.13
Atoms (fractional coordinates):
Au (0.9703, 0.1721, 0.7983)
Ge (0.3129, 0.0000, 0.3129)
Au (0.0297, 0.8279, 0.2017)
Au (0.6262, 0.8279, 0.7983)
Au (0.3738, 0.1721, 0.2017)
Si (0.2163, 0.7163, 0.5000)
Si (0.7837, 0.2837, 0.5000)
Dy (0.6257, 0.6257, 0.0000)
Ge (0.6871, 0.0000, 0.6871)
Dy (0.3743, 0.3743, 0.0000)
Dy (0.0000, 0.5000, 0.5000)


Number 1: magnetic moment 0.001 μB/atom, energy -51.509 eV for the cell shown. Number 2: magnetic moment 0.000 μB/atom, energy -54.541 eV for the cell shown.